# Sn2PdSe

A relaxed structure of Sn2PdSe (PBE, the Open Quantum Materials Database).

a = 3.9019 Å, b = 4.2186 Å, c = 11.2303 Å
α = 90.00°, β = 99.41°, γ = 90.00°
Last column: nearest neighbours and their distance in Å.
Space group P2_1/m (No. 11)
Inequivalent atoms, fractional coordinates:
Sn: 0.0475 0.2500 0.1185 [2 per cell]  6 Pd 2.87-3.08, 1 Se 2.97
Sn: 0.3689 0.2500 0.6629 [2 per cell]  1 Pd 2.75, 5 Se 2.89-3.07
Pd: 0.4741 0.2500 0.9107 [2 per cell]  6 Sn 2.75-2.96, 2 Pd 2.89
Se: 0.1688 0.2500 0.3866 [2 per cell]  6 Sn 2.89-3.07

Values from the calculation:
- Calculated volume: 182.4 Å³/cell
- Raw total energy: -0.1674 Ha/atom